Ca2TcW: PBEsol geometry, SCAN.

Cell lengths 5.4625, 10.1124, 2.7496 Å; angles 90.00, 90.72, 90.00 degrees
Space group C2/m (No. 12)
One atom of each set of equivalent atoms:
Ca  0.2500  0.2500  0.0000 [4 per cell]
Tc  0.0000  0.0000  0.5000 [2 per cell]
W  0.0000  0.5000  0.5000 [2 per cell]

Computed properties:
DFT total energy   -241.08 eV for the cell shown
Polymorph energy (0 for the lowest one)   550 meV/atom
Formation energy   0.884 eV per atom